[1]
Below is a geometry-optimized MgRu2Au structure, with properties calculated at the PBE level.

Cell lengths 2.9344, 4.6475, 9.3450 Å; angles 90.00, 90.00, 90.00 degrees
Last column: nearest neighbours and their distance in Å.
Sites, in units of the cell vectors:
Mg 0.0000 0.0000 0.0000  4 Ru 2.69, 6 Mg 2.75-2.93
Mg 0.5000 0.5000 0.0000  4 Ru 2.69, 6 Mg 2.75-2.93
Ru 0.0000 0.5000 0.2414  2 Mg 2.69, 6 Ru 2.75-2.93, 2 Au 2.83
Ru 0.0000 0.5000 0.7586  2 Mg 2.69, 6 Ru 2.75-2.93, 2 Au 2.83
Ru 0.5000 0.0000 0.2414  2 Mg 2.69, 6 Ru 2.75-2.93, 2 Au 2.83
Ru 0.5000 0.0000 0.7586  2 Mg 2.69, 6 Ru 2.75-2.93, 2 Au 2.83
Au 0.0000 0.0000 0.5000  6 Au 2.75-2.93, 4 Ru 2.83
Au 0.5000 0.5000 0.5000  6 Au 2.75-2.93, 4 Ru 2.83

Summary:
For the raw total energy, the calculation gives -5.47 eV per atom.

---

[2]
Below is a geometry-optimized MgRu2Au structure, with properties calculated at the PBE level.

Cell lengths 2.9338, 4.5336, 4.7260 Å; angles 90.00, 90.00, 90.00 degrees
Last column: nearest neighbours and their distance in Å.
Sites, in units of the cell vectors:
Mg 0.0000 0.0000 0.0000  4 Au 2.70, 4 Ru 2.78, 2 Mg 2.93
Ru 0.0000 0.5000 0.5000  6 Ru 2.70-2.93, 4 Au 2.78
Ru 0.5000 0.0000 0.5000  6 Ru 2.70-2.93, 4 Mg 2.78
Au 0.5000 0.5000 0.0000  4 Mg 2.70, 4 Ru 2.78, 2 Au 2.93

Summary:
For the raw total energy, the calculation gives -5.68 eV per atom.

---

[3]
Below is a geometry-optimized Mg2Ru2Au structure, with properties calculated at the PBE level.

Cell lengths 6.7890, 6.7890, 3.8072 Å; angles 90.00, 90.00, 90.00 degrees
Last column: nearest neighbours and their distance in Å.
Sites, in units of the cell vectors:
Mg 0.1760 0.3240 0.0000  6 Ru 2.72-2.80
Mg 0.3240 0.8240 0.0000  6 Ru 2.72-2.80
Mg 0.6760 0.1760 0.0000  6 Ru 2.72-2.80
Mg 0.8240 0.6760 0.0000  6 Ru 2.72-2.80
Ru 0.1211 0.6211 0.5000  1 Ru 2.32
Ru 0.3789 0.1211 0.5000  1 Ru 2.32
Ru 0.6211 0.8789 0.5000  1 Ru 2.32
Ru 0.8789 0.3789 0.5000  1 Ru 2.32
Au 0.0000 0.0000 0.5000  4 Ru 2.70
Au 0.5000 0.5000 0.5000  4 Ru 2.70

Summary:
For the raw total energy, the calculation gives -4.90 eV per atom.

---

[4]
Below is a geometry-optimized MgRu4Au structure, with properties calculated at the PBE level.

Cell lengths 5.1518, 5.1518, 5.1518 Å; angles 60.00, 60.00, 60.00 degrees
Last column: nearest neighbours and their distance in Å.
Sites, in units of the cell vectors:
Mg 0.0000 0.0000 0.0000  12 Ru 3.02, 4 Au 3.15
Ru 0.1256 0.6248 0.6248  6 Ru 2.57-2.58
Ru 0.6248 0.1256 0.6248  6 Ru 2.57-2.58
Ru 0.6248 0.6248 0.1256  6 Ru 2.57-2.58
Ru 0.6248 0.6248 0.6248  6 Ru 2.57-2.58
Au 0.2500 0.2500 0.2500  12 Ru 3.02, 4 Mg 3.15

Summary:
For the raw total energy, the calculation gives -6.60 eV per atom.

---

[5]
Below is a geometry-optimized MgRu2Au structure, with properties calculated at the PBE level.

Cell lengths 3.8367, 3.8367, 8.5875 Å; angles 90.00, 90.00, 90.00 degrees
Last column: nearest neighbours and their distance in Å.
Sites, in units of the cell vectors:
Mg 0.0000 0.0000 0.0000  4 Au 2.71, 8 Ru 2.88
Mg 0.5000 0.5000 0.5000  4 Au 2.71, 8 Ru 2.88
Ru 0.0000 0.5000 0.2500  4 Ru 2.71, 4 Mg 2.88, 4 Au 2.88
Ru 0.0000 0.5000 0.7500  4 Ru 2.71, 4 Mg 2.88, 4 Au 2.88
Ru 0.5000 0.0000 0.2500  4 Ru 2.71, 4 Mg 2.88, 4 Au 2.88
Ru 0.5000 0.0000 0.7500  4 Ru 2.71, 4 Mg 2.88, 4 Au 2.88
Au 0.0000 0.0000 0.5000  4 Mg 2.71, 8 Ru 2.88
Au 0.5000 0.5000 0.0000  4 Mg 2.71, 8 Ru 2.88

Summary:
For the raw total energy, the calculation gives -5.65 eV per atom.

---

[6]
Below is a geometry-optimized MgRu2Au structure, with properties calculated at the PBE level.

Cell lengths 3.8064, 3.8064, 4.2714 Å; angles 90.00, 90.00, 90.00 degrees
Last column: nearest neighbours and their distance in Å.
Sites, in units of the cell vectors:
Mg 0.0000 0.0000 0.0000  4 Au 2.69, 8 Ru 2.86
Ru 0.0000 0.5000 0.5000  4 Ru 2.69, 4 Mg 2.86, 4 Au 2.86
Ru 0.5000 0.0000 0.5000  4 Ru 2.69, 4 Mg 2.86, 4 Au 2.86
Au 0.5000 0.5000 0.0000  4 Mg 2.69, 8 Ru 2.86

Summary:
For the raw total energy, the calculation gives -5.70 eV per atom.

---

| no. | energy of formation (eV per formula unit) |
| --- | --- |
| 1 | 1.5 |
| 2 | 0.7 |
| 3 | 0.5 |
| 4 | 2.4 |
| 5 | 0.8 |
| 6 | 0.6 |